# HoMgSi2

An optimized crystal structure of HoMgSi2 (PBE, the Alexandria database).

## Properties
- V: 241.4 Å³ per cell
- ΔE_f (raw): -200 meV per atom
- Energy relative to the lowest polymorph listed for this composition: 222 meV per atom
- Total DFT energy (no corrections): -4.455 eV/atom

Unit cell a=4.3994 b=4.3994 c=14.4040 alpha=90.00 beta=90.00 gamma=120.00
Space group R-3m (No. 166, hexagonal axes)
Unique sites:
1 Ho 0.0000 0.0000 0.0000 [3 per cell]
2 Mg 0.0000 0.0000 0.5000 [3 per cell]
3 Si 0.0000 0.0000 0.2273 [6 per cell]